Compound: PrHo2Th
Source: Alexandria
Functional: PBE
Structure: optimized geometry

The structure in CIF format:
```
data_PrHo2Th
_cell_length_a 3.546
_cell_length_b 6.852
_cell_length_c 11.720
_cell_angle_alpha 95.09
_cell_angle_beta 107.69
_cell_angle_gamma 74.95
_symmetry_space_group_name_H-M 'P 1'
_symmetry_Int_Tables_number 1
_symmetry_space_group_name_Hall 'P 1'
loop_
_atom_site_label
_atom_site_fract_x
_atom_site_fract_y
_atom_site_fract_z
Pr1 0.613 0.311 0.787
Pr2 0.899 0.794 0.815
Ho1 0.021 0.009 0.544
Ho2 0.492 0.096 0.059
Ho3 0.756 0.565 0.058
Ho4 0.757 0.540 0.545
Th1 0.144 0.307 0.314
Th2 0.369 0.798 0.288
```

Calculated values
The crystal system is triclinic. For the offset from the most stable computed form, the calculation gives 0.103 eV per formula unit. The calculated formation energy comes out at 40 meV per atom. The calculation puts the total energy at -5.299 eV/atom. The value obtained for the magnetic moment is 0.000 μB/cell.